[1]
A relaxed structure of MgTaSi2, computed with PBE-GGA.

Formation energy without anion corrections: 0.0082 eV per atom

a = 2.873 Å, b = 2.873 Å, c = 7.974 Å
α = 90.00°, β = 90.00°, γ = 90.00°
Fractional positions:
Si 0.000 0.000 0.012
Si 0.000 0.000 0.488
Ta 0.500 0.500 0.250
Mg 0.500 0.500 0.750

***

[2]
A relaxed structure of Pm4TeAu, computed with PBE-GGA.

Formation energy without anion corrections: -0.7363 eV per atom

a = 4.049 Å, b = 8.631 Å, c = 20.216 Å
α = 90.00°, β = 90.00°, γ = 90.00°
Fractional positions:
Pm 0.250 0.160 0.347
Pm 0.250 0.125 0.560
Pm 0.250 0.625 0.940
Pm 0.250 0.511 0.721
Pm 0.750 0.489 0.279
Pm 0.750 0.375 0.060
Pm 0.250 0.011 0.779
Pm 0.750 0.476 0.573
Pm 0.750 0.840 0.653
Pm 0.750 0.875 0.440
Pm 0.250 0.524 0.427
Pm 0.750 0.989 0.221
Pm 0.250 0.024 0.073
Pm 0.250 0.660 0.153
Pm 0.750 0.976 0.927
Pm 0.750 0.340 0.847
Au 0.750 0.257 0.451
Au 0.250 0.243 0.951
Au 0.750 0.757 0.049
Au 0.250 0.743 0.549
Te 0.750 0.716 0.812
Te 0.250 0.784 0.312
Te 0.750 0.216 0.688
Te 0.250 0.284 0.188

***

[3]
A relaxed structure of La2TbYHo, computed with PBE-GGA.

ΔH_f (0 K): 412 meV/atom

a = 7.348 Å, b = 8.402 Å, c = 7.216 Å
α = 125.61°, β = 90.00°, γ = 90.00°
Fractional positions:
La 0.000 0.303 0.000
La 0.500 0.697 0.000
La 0.000 0.697 0.000
La 0.500 0.303 0.000
Y 0.250 0.751 0.503
Y 0.750 0.249 0.497
Ho 0.250 0.291 0.581
Ho 0.750 0.709 0.419
Tb 0.250 0.032 0.064
Tb 0.750 0.968 0.936

***

[4]
A relaxed structure of BeRuW2, computed with PBE-GGA.

Polymorph energy (0 for the lowest one): 0.036 eV per atom
ΔH_f (0 K): 66 meV/atom

a = 5.049 Å, b = 5.049 Å, c = 4.195 Å
α = 65.48°, β = 65.48°, γ = 35.59°
Fractional positions:
Ru 0.250 0.250 0.250
Be 0.750 0.750 0.750
W 0.498 0.498 0.502
W 0.002 0.002 0.998

***

[5]
A relaxed structure of GdDyCoRu, computed with PBE-GGA.

ΔH_f (0 K): -207 meV/atom

a = 4.790 Å, b = 4.790 Å, c = 4.790 Å
α = 60.00°, β = 60.00°, γ = 60.00°
Last column: magnetic moment on the atom in μB.
Fractional positions:
Co 0.250 0.250 0.250  -0.22
Ru 0.750 0.750 0.750  -0.06
Dy 0.500 0.500 0.500  0.08
Gd 0.000 0.000 0.000  7.05

***

[6]
A relaxed structure of Zr3Ni2Ge4, computed with PBE-GGA.

ΔH_f (0 K): -664 meV/atom

a = 4.024 Å, b = 5.474 Å, c = 7.796 Å
α = 107.31°, β = 90.00°, γ = 111.57°
Fractional positions:
Ni 0.689 0.379 0.370
Ni 0.311 0.621 0.630
Ge 0.083 0.165 0.396
Ge 0.293 0.585 0.921
Ge 0.707 0.415 0.079
Ge 0.917 0.835 0.604
Zr 0.374 0.748 0.305
Zr 0.626 0.252 0.695
Zr 0.000 0.000 0.000

***

[7]
A relaxed structure of LiPuPbS3, computed with PBE-GGA.

Formation energy without anion corrections: -1.1513 eV per atom

a = 4.030 Å, b = 8.342 Å, c = 8.587 Å
α = 101.77°, β = 90.00°, γ = 90.00°
Last column: magnetic moment on the atom in μB.
Fractional positions:
Pb 0.750 0.812 0.769  0.01
Pb 0.250 0.188 0.231  0.01
Pu 0.250 0.669 0.166  5.04
Pu 0.750 0.331 0.834  5.04
Li 0.750 0.915 0.418  0.00
Li 0.250 0.085 0.582  0.00
S 0.250 0.115 0.867  -0.07
S 0.750 0.885 0.133  -0.07
S 0.250 0.560 0.838  -0.10
S 0.750 0.440 0.162  -0.10
S 0.750 0.209 0.509  -0.04
S 0.250 0.791 0.491  -0.04

***

[8]
A relaxed structure of CsTe2IN, computed with PBE-GGA.

Polymorph energy (0 for the lowest one): 0.000 eV per atom
Formation energy without anion corrections: 0.2800 eV per atom

a = 4.767 Å, b = 4.767 Å, c = 8.903 Å
α = 90.00°, β = 90.00°, γ = 90.00°
Fractional positions:
Te 0.500 0.000 0.000
Te 0.000 0.500 0.000
Cs 0.500 0.500 0.500
I 0.000 0.000 0.500
N 0.000 0.000 0.000